Entry 1:
DFT (PBE) results for SmCoSi after structural relaxation.

Unit cell a=4.357 b=4.357 c=4.357 alpha=60.00 beta=60.00 gamma=60.00
Fractional positions:
Sm 0.000 0.000 0.000
Co 0.750 0.750 0.750
Si 0.500 0.500 0.500

Properties
crystal system	cubic
symmetry	F-43m
M_tot	1.30	μB per cell
E	-5.97	eV per atom

=====

Entry 2:
DFT (PBE) results for SmCoSi after structural relaxation.

Unit cell a=4.602 b=4.602 c=4.602 alpha=60.00 beta=60.00 gamma=60.00
Fractional positions:
Sm 0.000 0.000 0.000
Co 0.750 0.750 0.750
Si 0.250 0.250 0.250

Properties
crystal system	cubic
symmetry	F-43m
M_tot	1.42	μB per cell
E	-5.11	eV per atom

=====

Entry 3:
DFT (PBE) results for SmCoSi2Tc after structural relaxation.

Unit cell a=5.703 b=5.703 c=5.703 alpha=137.78 beta=137.78 gamma=61.24
Fractional positions:
Sm 0.000 0.000 0.000
Co 0.750 0.250 0.500
Si 0.367 0.367 0.000
Si 0.633 0.633 0.000
Tc 0.250 0.750 0.500

Properties
crystal system	tetragonal
symmetry	I-4m2
M_tot	0.00	μB per cell
E	-7.30	eV per atom

=====

- Which value of M_tot does entry 2 give?
  1.42 μB per cell